First-principles (PBE-GGA) data for an optimized crystal structure of HfTcB2, as listed in Alexandria.

Cell: 4.0264 4.0264 4.0264 Å, 60.00 60.00 60.00°
Fractional positions:
1 Hf 0.0000 0.0000 0.0000
2 Tc 0.5000 0.5000 0.5000
3 B 0.2500 0.2500 0.2500
4 B 0.7500 0.7500 0.7500

## Properties
As for the crystal system: cubic. Its energy relative to the lowest polymorph listed for this composition is 61.1 kJ/mol of atoms. As for the energy of formation: -1.5 kJ/mol of atoms.

---

First-principles (PBE-GGA) data for an optimized crystal structure of HfTcB2, as listed in Alexandria.

Cell: 5.7404 5.7404 5.7404 Å, 32.32 32.32 32.32°
Fractional positions:
1 Hf 0.0000 0.0000 0.0000
2 Tc 0.5000 0.5000 0.5000
3 B 0.2423 0.2423 0.2423
4 B 0.7577 0.7577 0.7577

## Properties
As for the crystal system: trigonal. Its energy relative to the lowest polymorph listed for this composition is 24.1 kJ/mol of atoms. As for the energy of formation: -38.6 kJ/mol of atoms.